DFT (PBE) results for an optimized crystal structure of Y3BeBi.

abc: 5.2012 5.2012 5.2012
angles: 90.00 90.00 90.00
With the nearest neighbours (Å) after each atom.
Sites, in units of the cell vectors:
Y 0.0000 0.0000 0.5000  2 Be 2.60
Y 0.0000 0.5000 0.0000  2 Be 2.60
Y 0.5000 0.0000 0.0000  2 Be 2.60
Be 0.0000 0.0000 0.0000  6 Y 2.60
Bi 0.5000 0.5000 0.5000  12 Y 3.68

- total moment (μB per cell) = 0.0
- formation enthalpy at 0 K (meV/atom) = -198
- crystal system = cubic
- volume (A^3/atom) = 28.1
- energy above the lowest structure with this stoichiometry (kJ per mole of atoms) = 0.0
- calculated density (g/cm3) = 5.720